(1)
K2LiCd5 | PBE | relaxed

```
K2LiCd5
1.0
5.2299 -2.7683 -4.8402
-4.5216 7.4936 1.4387
-0.7952 2.0082 8.6025
Cd K Li
5 2 1
direct
0.2941 0.3440 0.8457
0.8630 0.3078 0.3078
0.2317 0.6845 0.6845
0.2154 0.1755 0.1755
0.2941 0.8457 0.3440
0.6286 0.2788 0.7687
0.6286 0.7687 0.2788
0.8445 0.8180 0.8179
```

Calculated values
Crystal system = monoclinic
SG = Cm (8)
Total energy = -0.08186 Ry/atom

(2)
TaGaSi2Ir | PBE | relaxed

```
TaGaSi2Ir
1.0
4.4867 0.0000 0.0000
0.0000 5.1773 0.0000
0.0000 0.0000 4.4867
Ga Si Ta Ir
1 2 1 1
direct
0.5000 0.5000 0.5000
0.0000 0.0000 0.5000
0.5000 0.0000 0.0000
0.0000 0.5000 0.0000
0.0000 0.0000 0.0000
```

Calculated values
Crystal system = tetragonal
SG = P4/mmm (123)
Total energy = -0.46634 Ry/atom

(3)
SrLiGdPt | PBE | relaxed

```
SrLiGdPt
1.0
5.1620 0.0000 0.0000
2.5810 4.4704 0.0000
2.5810 1.4901 4.2147
Sr Gd Pt Li
1 1 1 1
direct
0.0000 0.0000 0.0000
0.5000 0.5000 0.5000
0.7500 0.7500 0.7500
0.2500 0.2500 0.2500
```

Calculated values
Crystal system = cubic
SG = F-43m (216)
Total energy = -0.46930 Ry/atom

(4)
Rb2NbMoPt | PBE | relaxed

```
Rb2NbMoPt
1.0
-0.2406 -4.4517 -5.1236
3.9633 -2.2045 1.7293
-3.9132 -4.0979 3.7443
Mo Pt Rb Nb
1 1 2 1
direct
0.5000 0.5000 0.5000
0.0000 0.5000 0.0000
0.5000 0.0000 0.0000
0.0000 0.0000 0.5000
0.0000 0.0000 0.0000
```

Calculated values
Crystal system = tetragonal
SG = P4/mmm (123)
Total energy = -0.29104 Ry/atom